Entry 1:
Here is an optimized crystal structure of BaCa2Ni from the Alexandria database. Energies are from PBE.

```
4
Lattice="4.118 0.000 0.000 0.000 6.753 0.094 0.000 3.728 5.624" Properties=species:S:1:pos:R:3 pbc="T T T"
Ni 2.059 2.620 1.429
Ca 0.000 0.971 0.530
Ca 0.000 4.270 2.329
Ba 2.059 7.861 4.288
```

Properties
E_tot, eV/atom: -2.888

---

Entry 2:
Here is an optimized crystal structure of ZrAlSi from the Alexandria database. Energies are from PBE.

```
12
Lattice="4.140 0.000 0.000 0.000 4.139 0.000 0.000 0.000 13.256" Properties=species:S:1:pos:R:3 pbc="T T T"
Si 1.035 3.104 4.576
Si 3.105 1.035 8.680
Si 3.105 1.035 11.204
Si 1.035 3.104 2.052
Al 1.035 3.104 8.706
Al 3.104 1.035 4.550
Al 3.104 1.035 2.078
Al 1.035 3.104 11.178
Zr 3.105 3.104 0.000
Zr 1.035 1.035 13.256
Zr 1.035 1.035 6.628
Zr 3.105 3.104 6.628
```

Properties
E_tot, eV/atom: -6.157
E_form (uncorrected), kcal/mol of atoms: -5.82

---

Entry 3:
Here is an optimized crystal structure of Tb2PC from the Alexandria database. Energies are from PBE.

```
4
Lattice="3.755 0.000 0.000 1.878 3.252 0.000 1.878 1.084 6.444" Properties=species:S:1:pos:R:3 pbc="T T T"
P 3.755 2.168 3.222
C 0.000 0.000 0.000
Tb 1.878 1.084 1.415
Tb 5.633 3.252 5.029
```

Properties
E_tot, eV/atom: -6.694

---

Entry 4:
Here is an optimized crystal structure of Pr5Pu3Se8 from the Alexandria database. Energies are from PBE.

```
16
Lattice="1.919 -6.495 5.008 7.007 -4.462 -1.390 6.510 0.601 5.369" Properties=species:S:1:pos:R:3 pbc="T T T"
Pr 0.960 -3.247 2.504
Pr 4.463 -5.479 1.809
Pr 0.000 0.000 0.000
Pr 3.504 -2.231 -0.695
Pr 7.718 -5.178 4.493
Pu 4.215 -2.947 5.188
Pu 3.255 0.301 2.684
Pu 6.759 -1.930 1.989
Se 7.068 -2.292 4.893
Se 10.622 -4.555 4.188
Se 8.042 -5.586 7.433
Se 11.539 -7.813 6.694
Se 8.369 -8.064 4.093
Se 4.815 -5.801 4.798
Se 7.395 -4.770 1.554
Se 3.898 -2.543 2.292
```

Properties
E_tot, eV/atom: -7.665
E_form (uncorrected), kcal/mol of atoms: -40.16

---

Entry 5:
Here is an optimized crystal structure of KRb3Pd from the Alexandria database. Energies are from PBE.

```
5
Lattice="6.787 0.000 0.000 0.000 6.787 0.000 0.000 0.000 6.787" Properties=species:S:1:pos:R:3 pbc="T T T"
K 3.393 3.393 3.393
Rb 0.000 3.393 0.000
Rb 0.000 0.000 3.393
Rb 3.393 0.000 0.000
Pd 0.000 0.000 0.000
```

Properties
E_tot, eV/atom: -1.744

---

Entry 6:
Here is an optimized crystal structure of Zr3TeSe from the Alexandria database. Energies are from PBE.

```
5
Lattice="-4.969 0.228 -0.681 -0.282 -4.998 0.384 -0.661 0.418 4.959" Properties=species:S:1:pos:R:3 pbc="T T T"
Te -2.956 -2.176 2.331
Se 0.000 0.000 0.000
Zr -0.141 -2.499 0.192
Zr -0.330 0.209 2.480
Zr -2.484 0.114 -0.341
```

Properties
E_tot, eV/atom: -6.529
E_form (uncorrected), kcal/mol of atoms: -1.74

---

Entry 7:
Here is an optimized crystal structure of ZnPAu2 from the Alexandria database. Energies are from PBE.

```
4
Lattice="1.242 1.443 -2.141 -1.919 -1.418 -1.585 -5.393 6.156 1.019" Properties=species:S:1:pos:R:3 pbc="T T T"
Zn -1.719 1.588 -1.602
P -2.595 2.962 0.490
Au -0.114 0.130 0.022
Au -4.339 4.579 -1.107
```

Properties
E_tot, eV/atom: -3.124

---

Entry 8:
Here is an optimized crystal structure of Ti2BiWC from the Alexandria database. Energies are from PBE.

```
5
Lattice="5.142 0.000 0.000 0.000 4.226 0.000 0.000 0.000 5.142" Properties=species:S:1:pos:R:3 pbc="T T T"
C 0.000 2.113 0.000
Bi 0.000 0.000 0.000
W 2.571 2.113 2.571
Ti 0.000 0.000 2.571
Ti 2.571 0.000 0.000
```

Properties
E_tot, eV/atom: -5.821

---

Entry 9:
Here is an optimized crystal structure of CdInIr from the Alexandria database. Energies are from PBE.

```
6
Lattice="-0.316 4.391 1.554 -2.289 1.210 -3.885 -5.219 -1.318 2.664" Properties=species:S:1:pos:R:3 pbc="T T T"
Cd -1.144 0.605 -1.942
Cd -2.767 1.536 2.109
Ir -1.305 -0.330 0.666
Ir -3.914 -0.989 1.998
In -3.754 -0.054 -0.610
In -0.158 2.196 0.777
```

Properties
E_tot, eV/atom: -4.286

---

Entry 10:
Here is an optimized crystal structure of Na3Rh3IO8 from the Alexandria database. Energies are from PBE.

```
15
Lattice="-5.398 -1.794 -3.333 5.662 -3.260 -0.896 -3.252 -0.498 5.534" Properties=species:S:1:pos:R:3 pbc="T T T"
Na 0.000 0.000 0.000
Na 2.831 -1.630 -0.448
Na 0.132 -2.527 -2.114
Rh -4.325 -1.146 1.100
Rh -1.494 -2.776 0.652
Rh 1.205 -1.879 2.319
I -1.626 -0.249 2.767
O 0.603 -2.373 0.301
O -3.590 -3.179 1.004
O -2.199 -3.220 -1.226
O -0.788 -2.331 2.531
O -4.806 -1.721 -0.814
O 1.819 -3.830 2.119
O -2.320 -0.895 0.721
O -0.667 -4.656 0.584
```

Properties
E_tot, eV/atom: -5.302
E_form (uncorrected), kcal/mol of atoms: -18.91

---

Entry 11:
Here is an optimized crystal structure of Fe2CuP from the Alexandria database. Energies are from PBE.

```
4
Lattice="-2.751 0.428 -2.884 -3.405 -2.110 0.150 -3.468 1.846 0.797" Properties=species:S:1:pos:R:3 pbc="T T T"
Cu -4.812 0.082 -0.969
Fe 0.000 0.000 0.000
Fe -2.406 0.041 -0.484
P -7.219 0.123 -1.453
```

Properties
E_tot, eV/atom: -6.529

---

Entry 12:
Here is an optimized crystal structure of RbCo3Bi from the Alexandria database. Energies are from PBE.

```
5
Lattice="-1.601 -4.665 1.218 4.616 -1.112 1.808 -1.394 1.676 4.589" Properties=species:S:1:pos:R:3 pbc="T T T"
Co 2.308 -0.556 0.904
Co -0.697 0.838 2.294
Co -0.801 -2.333 0.609
Bi 0.000 0.000 0.000
Rb 0.810 -2.051 3.807
```

Properties
E_tot, eV/atom: -4.008

---

Entry 13:
Here is an optimized crystal structure of USiP2 from the Alexandria database. Energies are from PBE.

```
4
Lattice="3.684 0.000 0.000 0.000 4.165 0.000 0.000 0.000 4.165" Properties=species:S:1:pos:R:3 pbc="T T T"
P 0.000 0.000 2.082
P 0.000 2.082 0.000
Si 1.842 2.082 2.082
U 1.842 0.000 0.000
```

Properties
E_tot, eV/atom: -7.375
E_form (uncorrected), kcal/mol of atoms: -11.35

---

Entry 14:
Here is an optimized crystal structure of NdY2Mg from the Alexandria database. Energies are from PBE.

```
4
Lattice="3.590 0.000 0.000 1.795 3.109 0.000 1.795 1.036 11.191" Properties=species:S:1:pos:R:3 pbc="T T T"
Y 1.795 1.036 2.642
Y 5.385 3.109 8.549
Mg 0.000 0.000 0.000
Nd 3.590 2.073 5.595
```

Properties
E_tot, eV/atom: -4.816

---

Entry 15:
Here is an optimized crystal structure of Cs2NaBe from the Alexandria database. Energies are from PBE.

```
4
Lattice="1.912 -5.691 -3.100 -4.278 -5.211 -0.436 -2.697 -1.667 -5.967" Properties=species:S:1:pos:R:3 pbc="T T T"
Cs -1.266 -3.142 -2.376
Cs -3.797 -9.427 -7.127
Na -2.531 -6.284 -4.752
Be 0.000 0.000 0.000
```

Properties
E_tot, eV/atom: -1.016

---

Entry 16:
Here is an optimized crystal structure of HfNi2I from the Alexandria database. Energies are from PBE.

```
8
Lattice="-6.498 -2.250 -1.902 2.918 -4.275 -4.911 -1.629 -5.326 -1.515" Properties=species:S:1:pos:R:3 pbc="T T T"
I -1.790 -3.263 -3.406
I -0.251 -6.432 -4.916
Ni -4.036 -3.249 -2.161
Ni 0.536 -4.308 -3.706
Ni -2.534 -6.486 -3.742
Ni -4.386 -9.659 -7.045
Hf 0.000 0.000 0.000
Hf -4.959 -5.419 -3.411
```

Properties
E_tot, eV/atom: -5.503
E_form (uncorrected), kcal/mol of atoms: 6.07

---

Entry 17:
Here is an optimized crystal structure of PmNd2Hg4 from the Alexandria database. Energies are from PBE.

```
7
Lattice="5.742 0.000 0.000 0.000 5.742 0.000 -2.871 -2.871 7.887" Properties=species:S:1:pos:R:3 pbc="T T T"
Pm 0.000 0.000 0.000
Nd 2.871 2.871 1.634
Nd 0.000 0.000 6.253
Hg 2.871 2.871 4.790
Hg 0.000 0.000 3.098
Hg 0.000 2.871 0.000
Hg 2.871 0.000 0.000
```

Properties
E_tot, eV/atom: -2.222

---

Entry 18:
Here is an optimized crystal structure of Zr2Ta2C3 from the Alexandria database. Energies are from PBE.

```
7
Lattice="3.270 0.000 0.000 0.000 5.544 0.038 -1.635 -1.397 5.320" Properties=species:S:1:pos:R:3 pbc="T T T"
Zr 0.000 -0.281 4.059
Zr 1.635 4.429 1.300
Ta 0.000 1.570 1.497
Ta 1.635 2.577 3.861
C 0.000 0.000 0.000
C 0.000 3.422 2.702
C 1.635 0.725 2.657
```

Properties
E_tot, eV/atom: -10.515

---

Entry 19:
Here is an optimized crystal structure of SiB2 from the Alexandria database. Energies are from PBE.

```
6
Lattice="4.367 0.000 -0.082 0.000 4.943 0.000 -2.844 0.000 4.120" Properties=species:S:1:pos:R:3 pbc="T T T"
Si 0.761 4.559 2.019
Si 2.183 2.088 -0.041
B 2.284 0.843 1.539
B -0.761 0.843 2.498
B 0.862 3.315 3.599
B 0.661 3.315 0.438
```

Properties
E_tot, eV/atom: -5.601
E_form (uncorrected), kcal/mol of atoms: 15.18

---

Entry 20:
Here is an optimized crystal structure of NiOsCl2 from the Alexandria database. Energies are from PBE.

```
4
Lattice="-2.103 3.461 -4.672 -3.900 -1.061 -4.680 1.141 -0.463 6.060" Properties=species:S:1:pos:R:3 pbc="T T T"
Ni -3.002 1.200 -4.676
Os -1.982 2.099 -1.644
Cl 0.000 0.000 0.000
Cl -2.880 -0.162 -1.648
```

Properties
E_tot, eV/atom: -4.089
E_form (uncorrected), kcal/mol of atoms: 25.08

---

Entry 21:
Here is an optimized crystal structure of AlHI2 from the Alexandria database. Energies are from PBE.

```
4
Lattice="-3.702 -1.091 1.434 -1.341 -5.350 4.283 -4.036 4.986 5.202" Properties=species:S:1:pos:R:3 pbc="T T T"
Al -3.556 0.840 3.278
H -5.512 -3.170 6.996
I -3.476 -1.248 1.908
I -4.776 0.305 5.631
```

Properties
E_tot, eV/atom: -2.928

---

Entry 22:
Here is an optimized crystal structure of NaVAg2 from the Alexandria database. Energies are from PBE.

```
4
Lattice="3.919 2.716 -0.077 0.316 3.812 2.849 2.999 -0.036 3.708" Properties=species:S:1:pos:R:3 pbc="T T T"
Na 0.000 0.000 0.000
Ag 1.808 1.623 1.620
Ag 5.425 4.869 4.860
V 3.617 3.246 3.240
```

Properties
E_tot, eV/atom: -3.562

---

Entry 23:
Here is an optimized crystal structure of Ba6In2Pb from the Alexandria database. Energies are from PBE.

```
18
Lattice="-7.638 -0.213 -7.060 9.532 0.672 -4.112 0.012 -8.896 5.393" Properties=species:S:1:pos:R:3 pbc="T T T"
Ba 2.717 -6.981 -2.464
Ba -0.811 -1.457 -3.315
Ba 1.848 -7.191 2.656
Ba 0.058 -1.247 -8.436
Ba 0.953 -4.643 -5.785
Ba 0.953 -3.795 0.006
Ba 5.699 -7.884 0.642
Ba -3.793 -0.553 -6.422
Ba -1.930 -5.772 -2.798
Ba 3.836 -2.666 -2.982
Ba 6.868 -5.279 -2.575
Ba -4.962 -3.159 -3.205
In -0.187 -7.680 -0.347
In 2.093 -0.758 -5.432
In -5.126 -6.122 -1.120
In -2.501 -2.987 -0.547
Pb 4.772 -4.112 0.640
Pb 0.000 0.000 0.000
```

Properties
E_tot, eV/atom: -2.625

---

Entry 24:
Here is an optimized crystal structure of GdScFe4 from the Alexandria database. Energies are from PBE.

```
6
Lattice="-3.766 -0.771 -3.266 0.627 -3.177 -3.868 -2.428 -4.421 -0.052" Properties=species:S:1:pos:R:3 pbc="T T T"
Sc 0.000 0.000 0.000
Gd -1.392 -2.092 -1.796
Fe -2.264 -3.016 -4.469
Fe -3.797 -3.640 -2.553
Fe -3.482 -5.235 -4.495
Fe -1.592 -4.848 -2.855
```

Properties
E_tot, eV/atom: -9.197

---

Entry 25:
Here is an optimized crystal structure of Tl4AuBr2 from the Alexandria database. Energies are from PBE.

```
7
Lattice="-4.400 -0.083 3.470 -2.033 -4.479 -2.685 1.064 -7.404 5.698" Properties=species:S:1:pos:R:3 pbc="T T T"
Tl -4.961 -6.323 2.609
Tl -0.407 -5.643 3.874
Tl -1.016 -2.239 -1.342
Tl -2.200 -0.041 1.735
Au 0.000 0.000 0.000
Br -3.344 -8.258 4.612
Br -2.024 -3.708 1.870
```

Properties
E_tot, eV/atom: -2.646
E_form (uncorrected), kcal/mol of atoms: -8.01

---

Entry 26:
Here is an optimized crystal structure of CuTcP from the Alexandria database. Energies are from PBE.

```
3
Lattice="-0.070 -3.999 -0.037 3.297 -2.067 0.928 0.183 -2.035 3.439" Properties=species:S:1:pos:R:3 pbc="T T T"
Cu 0.000 0.000 0.000
P 1.705 -4.051 2.165
Tc 2.558 -6.076 3.247
```

Properties
E_tot, eV/atom: -6.455